Here is a geometry-optimized CuAuSe2 structure from Alexandria via LeMat-Bulk. Energies are from PBE.

Cell lengths 3.609, 3.612, 7.152 Å; angles 90.00, 90.00, 90.00 degrees
Fractional positions:
Cu 0.000 0.000 0.000
Au 0.500 0.000 0.500
Se 0.000 0.500 0.500
Se 0.500 0.500 0.000

E_form (uncorrected) = 0.257 eV per atom
symmetry = Pmmm
total moment = 0.0 μB/f.u.